Record 1
Entry from the Alexandria database: a relaxed structure of KBeTl2 (PBEsol).

Lattice parameters (Å, degrees): 4.806 4.806 4.505 90.00 90.00 90.00
Fractional coordinates of all 4 atoms:
K1 0.000 0.000 0.000
Be1 0.500 0.500 0.000
Tl1 0.000 0.500 0.500
Tl2 0.500 0.000 0.500

Values from the calculation:
polymorph energy (0 for the lowest one)	195	meV/atom
electronic total energy	-8.234	eV for the cell shown
ρ	7290	kg/m3
DFT formation energy	0.540	eV/atom
space-group type	P4/mmm (123)

Record 2
Entry from the Alexandria database: a relaxed structure of KBeTl2 (PBEsol).

Lattice parameters (Å, degrees): 3.545 3.823 8.077 90.00 90.00 90.00
Fractional coordinates of all 4 atoms:
K1 0.000 0.000 0.000
Be1 0.500 0.500 0.642
Tl1 0.000 0.000 0.585
Tl2 0.500 0.500 0.313

Values from the calculation:
polymorph energy (0 for the lowest one)	0	meV/atom
electronic total energy	-9.015	eV for the cell shown
ρ	6932	kg/m3
DFT formation energy	0.345	eV/atom
space-group type	Pmm2 (25)

Record 3
Entry from the Alexandria database: a relaxed structure of K2BeTl (PBEsol).

Lattice parameters (Å, degrees): 4.610 6.026 6.026 59.88 90.00 90.00
Fractional coordinates of all 4 atoms:
K1 0.000 0.000 0.000
K2 0.500 0.333 0.333
Be1 0.500 0.666 0.666
Tl1 0.000 0.667 0.667

Values from the calculation:
polymorph energy (0 for the lowest one)	0	meV/atom
electronic total energy	-7.853	eV for the cell shown
ρ	3344	kg/m3
DFT formation energy	0.261	eV/atom
space-group type	Amm2 (38)

Record 4
Entry from the Alexandria database: a relaxed structure of KY2Be (PBEsol).

Lattice parameters (Å, degrees): 3.446 3.445 10.299 90.00 90.07 90.00
Fractional coordinates of all 4 atoms:
K1 0.000 0.000 0.000
Y1 0.500 0.500 0.347
Y2 0.500 0.500 0.653
Be1 0.000 0.000 0.500

Values from the calculation:
electronic total energy	-17.655	eV for the cell shown
ρ	3069	kg/m3
DFT formation energy	0.281	eV/atom
space-group type	P2/m (10)